This record from the Alexandria database describes SrY2Os after structural relaxation. The functional is PBE.

Computed properties:
Theoretical density in g/cm3: 5.78
Total energy in eV per atom: -6.346
DOS at the Fermi energy in states/eV/cell: 7.73

Geometry as CIF:
```
data_SrY2Os
_cell_length_a 3.6819
_cell_length_b 4.3577
_cell_length_c 16.3260
_cell_angle_alpha 90.00
_cell_angle_beta 90.00
_cell_angle_gamma 90.00
_symmetry_space_group_name_H-M 'A m m 2'
_symmetry_Int_Tables_number 38
loop_
_symmetry_equiv_pos_as_xyz
'x,y,z'
'-x,-y,z'
'-x,y,z'
'x,-y,z'
'x,y+1/2,z+1/2'
'-x,-y+1/2,z+1/2'
'-x,y+1/2,z+1/2'
'x,-y+1/2,z+1/2'
loop_
_atom_site_label
_atom_site_fract_x
_atom_site_fract_y
_atom_site_fract_z
_atom_site_occupancy
Sr1 0.0000 0.0000 0.0000 1
Y1 0.0000 0.0000 0.6856 1
Y2 0.5000 0.0000 0.3215 1
Os1 0.5000 0.0000 0.1613 1
```